No. 1
## Ac4GaCu3 (PBE)

Data for a relaxed Ac4GaCu3 crystal.

Computed properties:
Energy relative to the elements ... -216 meV per atom
Theoretical density ... 8.51 g/cm³
Total magnetization ... 0.000 μB per formula unit
Space group ... Pmm2, No. 25
E_tot ... -4.18 eV per atom

a b c (Å): 4.6621 4.5507 10.7412
angles (deg): 90.00 90.00 90.00
Last column: nearest neighbours and their distance in Å.
Sites, in units of the cell vectors:
Ac 0.0000 0.0000 0.1455  3 Cu 3.21-3.23, 4 Ga 3.40
Ac 0.5000 0.0000 0.6475  7 Cu 3.15-3.40
Ac 0.0000 0.5000 0.8474  5 Cu 3.12-3.41, 2 Ga 3.23
Ac 0.5000 0.5000 0.3603  6 Cu 3.15-3.39, 1 Ga 3.28
Cu 0.5000 0.0000 0.9407  2 Ga 2.59
Cu 0.0000 0.5000 0.5573  2 Cu 2.57
Cu 0.0000 0.0000 0.4463  2 Cu 2.57
Ga 0.5000 0.5000 0.0551  2 Cu 2.59

No. 2
## Ac2GaCu3Ge4 (PBE)

Data for a relaxed Ac2GaCu3Ge4 crystal.

Computed properties:
Energy relative to the elements ... -487 meV per atom
Theoretical density ... 8.32 g/cm³
Total magnetization ... 0.000 μB per formula unit
Space group ... P-4m2, No. 115
E_tot ... -4.69 eV per atom

a b c (Å): 4.4341 4.4341 10.2069
angles (deg): 90.00 90.00 90.00
Last column: nearest neighbours and their distance in Å.
Sites, in units of the cell vectors:
Ge 0.5000 0.0000 0.6359  3 Cu 2.48-2.62, 2 Ga 2.62
Ge 0.0000 0.5000 0.3641  3 Cu 2.48-2.62, 2 Ga 2.62
Ge 0.0000 0.0000 0.0000  4 Cu 2.54
Ge 0.5000 0.5000 0.0000  4 Cu 2.54
Cu 0.0000 0.0000 0.5000  4 Ge 2.62
Cu 0.5000 0.0000 0.8791  5 Ge 2.48-2.54
Cu 0.0000 0.5000 0.1209  5 Ge 2.48-2.54
Ac 0.0000 0.5000 0.7535  8 Ge 3.35-3.36, 7 Cu 3.39-3.75, 2 Ga 3.41
Ac 0.5000 0.0000 0.2465  8 Ge 3.35-3.36, 7 Cu 3.39-3.75, 2 Ga 3.41
Ga 0.5000 0.5000 0.5000  4 Ge 2.62

No. 3
## AcGaCuGe2 (PBE)

Data for a relaxed AcGaCuGe2 crystal.

Computed properties:
Energy relative to the elements ... -404 meV per atom
Theoretical density ... 7.96 g/cm³
Total magnetization ... 0.000 μB per formula unit
Space group ... I-4m2, No. 119
E_tot ... -4.50 eV per atom

a b c (Å): 4.2798 4.2798 6.5036
angles (deg): 109.21 109.21 90.00
Last column: nearest neighbours and their distance in Å.
Sites, in units of the cell vectors:
Ga 0.7500 0.2500 0.5000  4 Ge 2.60
Ac 0.0000 0.0000 0.0000  8 Ge 3.33, 4 Cu 3.59, 4 Ga 3.59
Ge 0.3783 0.3783 0.7566  2 Ga 2.60, 2 Cu 2.60, 1 Ge 2.80
Ge 0.6217 0.6217 0.2434  2 Cu 2.60, 2 Ga 2.60, 1 Ge 2.80
Cu 0.2500 0.7500 0.5000  4 Ge 2.60

No. 4
## Ac3GaCu2Ge6 (PBE)

Data for a relaxed Ac3GaCu2Ge6 crystal.

Computed properties:
Energy relative to the elements ... -223 meV per atom
Theoretical density ... 7.31 g/cm³
Total magnetization ... 0.000 μB per formula unit
Space group ... P-3m1, No. 164
E_tot ... -4.49 eV per atom

a b c (Å): 6.2368 6.2368 8.8606
angles (deg): 90.00 90.00 120.00
Last column: nearest neighbours and their distance in Å.
Sites, in units of the cell vectors:
Cu 0.3333 0.6667 0.0403  3 Ge 2.59
Cu 0.6667 0.3333 0.9597  3 Ge 2.59
Ge 0.1932 0.8068 0.2773  1 Cu 2.59, 2 Ge 2.62, 1 Ga 2.87
Ge 0.8068 0.6135 0.7227  1 Cu 2.59, 2 Ge 2.62, 1 Ga 2.87
Ge 0.6135 0.8068 0.2773  1 Cu 2.59, 2 Ge 2.62, 1 Ga 2.87
Ge 0.8068 0.1932 0.7227  1 Cu 2.59, 2 Ge 2.62, 1 Ga 2.87
Ge 0.3865 0.1932 0.7227  1 Cu 2.59, 2 Ge 2.62, 1 Ga 2.87
Ge 0.1932 0.3865 0.2773  1 Cu 2.59, 2 Ge 2.62, 1 Ga 2.87
Ac 0.0000 0.0000 0.0000  6 Ge 3.22
Ac 0.3333 0.6667 0.6238  9 Ge 3.25-3.42
Ac 0.6667 0.3333 0.3762  9 Ge 3.25-3.42
Ga 0.0000 0.0000 0.5000  6 Ge 2.87